The following is a DFT calculation (PBE) of a relaxed structure of KP2Rh.

```
data_KP2Rh
_chemical_formula_sum 'K4 P8 Rh4'
_cell_length_a 6.983
_cell_length_b 6.983
_cell_length_c 8.542
_cell_angle_alpha 90.00
_cell_angle_beta 90.00
_cell_angle_gamma 90.00
_symmetry_space_group_name_H-M 'I -4 2 d'
_symmetry_Int_Tables_number 122
_symmetry_space_group_name_Hall 'I -4 2bw'
loop_
_atom_site_label
_atom_site_type_symbol
_atom_site_fract_x
_atom_site_fract_y
_atom_site_fract_z
K1 K 0.000 0.000 0.000
P1 P 0.131 0.250 0.625
Rh1 Rh 0.000 0.000 0.500
```

DOS(E_F) = 3.236 states/eV/f.u.
calculated density = 3.25 Mg/m³
spin magnetization = 0.00 μB per formula unit
energy relative to the lowest polymorph listed for this composition = 224.9 meV per atom
formation energy = -194 meV per atom

The following is a DFT calculation (PBE) of a relaxed structure of KP2Rh2.

```
data_KP2Rh2
_chemical_formula_sum 'K1 P2 Rh2'
_cell_length_a 4.008
_cell_length_b 4.008
_cell_length_c 5.809
_cell_angle_alpha 90.00
_cell_angle_beta 90.00
_cell_angle_gamma 90.00
_symmetry_space_group_name_H-M 'P 4/m m m'
_symmetry_Int_Tables_number 123
_symmetry_space_group_name_Hall '-P 4 2'
loop_
_atom_site_label
_atom_site_type_symbol
_atom_site_fract_x
_atom_site_fract_y
_atom_site_fract_z
K1 K 0.000 0.000 0.000
P1 P 0.500 0.500 0.273
Rh1 Rh 0.000 0.500 0.500
```

DOS(E_F) = 1.710 states/eV/f.u.
calculated density = 5.46 Mg/m³
spin magnetization = 0.00 μB per formula unit
formation energy = -451 meV per atom

The following is a DFT calculation (PBE) of a relaxed structure of KPRh.

```
data_KPRh
_chemical_formula_sum 'K2 P2 Rh2'
_cell_length_a 3.126
_cell_length_b 3.216
_cell_length_c 12.060
_cell_angle_alpha 90.00
_cell_angle_beta 90.00
_cell_angle_gamma 90.00
_symmetry_space_group_name_H-M 'I m m 2'
_symmetry_Int_Tables_number 44
loop_
_symmetry_equiv_pos_as_xyz
'x,y,z'
'-x,-y,z'
'-x,y,z'
'x,-y,z'
'x+1/2,y+1/2,z+1/2'
'-x+1/2,-y+1/2,z+1/2'
'-x+1/2,y+1/2,z+1/2'
'x+1/2,-y+1/2,z+1/2'
loop_
_atom_site_label
_atom_site_type_symbol
_atom_site_fract_x
_atom_site_fract_y
_atom_site_fract_z
K1 K 0.000 0.000 0.000
P1 P 0.000 0.000 0.707
Rh1 Rh 0.000 0.000 0.279
```

DOS(E_F) = 1.771 states/eV/f.u.
calculated density = 4.74 Mg/m³
spin magnetization = 0.00 μB per formula unit
formation energy = -337 meV per atom

The following is a DFT calculation (PBE) of a relaxed structure of KP2Rh.

```
data_KP2Rh
_chemical_formula_sum 'K1 P2 Rh1'
_cell_length_a 3.300
_cell_length_b 3.300
_cell_length_c 6.956
_cell_angle_alpha 90.00
_cell_angle_beta 90.00
_cell_angle_gamma 90.00
_symmetry_space_group_name_H-M 'P 4/m m m'
_symmetry_Int_Tables_number 123
_symmetry_space_group_name_Hall '-P 4 2'
loop_
_atom_site_label
_atom_site_type_symbol
_atom_site_fract_x
_atom_site_fract_y
_atom_site_fract_z
K1 K 0.000 0.000 0.000
P1 P 0.500 0.500 0.340
Rh1 Rh 0.000 0.000 0.500
```

DOS(E_F) = 0.847 states/eV/f.u.
calculated density = 4.47 Mg/m³
spin magnetization = 0.00 μB per formula unit
energy relative to the lowest polymorph listed for this composition = 199.5 meV per atom
formation energy = -219 meV per atom

The following is a DFT calculation (PBE) of a relaxed structure of KP2Rh.

```
data_KP2Rh
_chemical_formula_sum 'K1 P2 Rh1'
_cell_length_a 4.122
_cell_length_b 4.122
_cell_length_c 4.134
_cell_angle_alpha 90.00
_cell_angle_beta 90.00
_cell_angle_gamma 90.00
_symmetry_space_group_name_H-M 'P 4/m m m'
_symmetry_Int_Tables_number 123
_symmetry_space_group_name_Hall '-P 4 2'
loop_
_atom_site_label
_atom_site_type_symbol
_atom_site_fract_x
_atom_site_fract_y
_atom_site_fract_z
K1 K 0.000 0.000 0.000
P1 P 0.000 0.500 0.500
Rh1 Rh 0.500 0.500 0.000
```

DOS(E_F) = 1.765 states/eV/f.u.
calculated density = 4.82 Mg/m³
spin magnetization = 0.00 μB per formula unit
energy relative to the lowest polymorph listed for this composition = 1030.0 meV per atom
formation energy = 611 meV per atom

The following is a DFT calculation (PBE) of a relaxed structure of KP2Rh.

```
data_KP2Rh
_chemical_formula_sum 'K1 P2 Rh1'
_cell_length_a 2.892
_cell_length_b 4.107
_cell_length_c 6.583
_cell_angle_alpha 90.00
_cell_angle_beta 90.00
_cell_angle_gamma 90.00
_symmetry_space_group_name_H-M 'P m m m'
_symmetry_Int_Tables_number 47
loop_
_symmetry_equiv_pos_as_xyz
'x,y,z'
'-x,-y,-z'
'-x,-y,z'
'x,y,-z'
'x,-y,-z'
'-x,y,z'
'-x,y,-z'
'x,-y,z'
loop_
_atom_site_label
_atom_site_type_symbol
_atom_site_fract_x
_atom_site_fract_y
_atom_site_fract_z
K1 K 0.000 0.000 0.000
P1 P 0.500 0.500 0.323
Rh1 Rh 0.500 0.000 0.500
```

DOS(E_F) = 2.933 states/eV/f.u.
calculated density = 4.33 Mg/m³
spin magnetization = 0.00 μB per formula unit
energy relative to the lowest polymorph listed for this composition = 182.5 meV per atom
formation energy = -236 meV per atom

The following is a DFT calculation (PBE) of a relaxed structure of KP2Rh2.

```
data_KP2Rh2
_chemical_formula_sum 'K2 P4 Rh4'
_cell_length_a 3.935
_cell_length_b 3.935
_cell_length_c 13.169
_cell_angle_alpha 90.00
_cell_angle_beta 90.00
_cell_angle_gamma 90.00
_symmetry_space_group_name_H-M 'I 4/m m m'
_symmetry_Int_Tables_number 139
_symmetry_space_group_name_Hall '-I 4 2'
loop_
_atom_site_label
_atom_site_type_symbol
_atom_site_fract_x
_atom_site_fract_y
_atom_site_fract_z
K1 K 0.000 0.000 0.000
P1 P 0.000 0.000 0.347
Rh1 Rh 0.000 0.500 0.250
```

DOS(E_F) = 0.724 states/eV/f.u.
calculated density = 5.00 Mg/m³
spin magnetization = 0.00 μB per formula unit
formation energy = -746 meV per atom

The following is a DFT calculation (PBE) of a relaxed structure of KP2Rh.

```
data_KP2Rh
_chemical_formula_sum 'K2 P4 Rh2'
_cell_length_a 4.118
_cell_length_b 6.572
_cell_length_c 7.365
_cell_angle_alpha 90.00
_cell_angle_beta 90.00
_cell_angle_gamma 90.00
_symmetry_space_group_name_H-M 'I m m m'
_symmetry_Int_Tables_number 71
_symmetry_space_group_name_Hall '-I 2 2'
loop_
_atom_site_label
_atom_site_type_symbol
_atom_site_fract_x
_atom_site_fract_y
_atom_site_fract_z
K1 K 0.000 0.000 0.000
P1 P 0.000 0.500 0.147
Rh1 Rh 0.000 0.000 0.500
```

DOS(E_F) = 1.518 states/eV/f.u.
calculated density = 3.40 Mg/m³
spin magnetization = 0.00 μB per formula unit
energy relative to the lowest polymorph listed for this composition = 209.4 meV per atom
formation energy = -210 meV per atom